Crystalline K2ZrTc at its relaxed geometry. Source: Alexandria, functional GGA-PBE.

Properties
The calculated formation energy comes out at 1.08 eV/atom. The value obtained for the total energy is -4.193 eV/atom. For the magnetization, the calculation gives 0.00 μB per formula unit. The distance to the lowest polymorph of the same formula is 575.3 meV/atom. As for the density of states at the Fermi level: 3.188 states/eV/f.u.

The structure in CIF format:
```
data_K2ZrTc
_chemical_formula_sum 'K2 Zr1 Tc1'
_symmetry_space_group_name_H-M 'P 1 2/m 1'
_symmetry_Int_Tables_number 10
_cell_length_a 3.3393
_cell_length_b 6.5041
_cell_length_c 4.7155
_cell_angle_alpha 90.00
_cell_angle_beta 94.00
_cell_angle_gamma 90.00
loop_
_symmetry_equiv_pos_as_xyz
'x,y,z'
'-x,-y,-z'
'-x,y,-z'
'x,-y,z'
loop_
_atom_site_label
_atom_site_type_symbol
_atom_site_fract_x
_atom_site_fract_y
_atom_site_fract_z
K1 K 0.2421 0.0000 0.2563
Zr1 Zr 0.5000 0.5000 0.0000
Tc1 Tc 0.0000 0.5000 0.5000
```